Nd6Ho3Tm2Tl | PBE | relaxed

Cell and atoms, written as extended XYZ:
```
12
Lattice="3.100 -5.384 0.000 3.100 5.384 0.000 -2.098 0.000 11.582" Properties=species:S:1:pos:R:3 pbc="T T T"
Nd -0.040 1.771 8.659
Nd 1.001 0.000 2.905
Nd -0.040 -1.771 8.659
Nd 4.141 1.771 2.923
Nd 3.100 0.000 8.678
Nd 4.141 -1.771 2.923
Ho 3.100 3.577 0.000
Ho 3.100 0.000 0.000
Ho 3.100 -3.577 0.000
Tm 2.051 1.789 5.791
Tm 2.051 -1.789 5.791
Tl -1.049 0.000 5.791
```

Results
Spin magnetization ... 0.000 μB per formula unit
Theoretical density ... 8.173 g/cm3
V ... 32.21 Å³ per atom
Energy of formation ... -0.003 eV/atom
VASP energy ... -53.69 eV/cell


BaCuP | PBE | relaxed

Cell and atoms, written as extended XYZ:
```
12
Lattice="6.529 0.000 0.000 0.000 7.894 0.000 0.000 0.000 6.182" Properties=species:S:1:pos:R:3 pbc="T T T"
Ba 0.000 1.149 1.545
Ba 0.000 6.745 4.636
Ba 3.264 2.798 4.636
Ba 3.264 5.096 1.545
Cu 0.000 3.947 0.000
Cu 0.000 3.947 3.091
Cu 3.264 0.000 0.000
Cu 3.264 0.000 3.091
P 0.000 2.331 4.636
P 0.000 5.563 1.545
P 3.264 1.616 1.545
P 3.264 6.277 4.636
```

Results
Spin magnetization ... 0.000 μB per formula unit
Theoretical density ... 4.834 g/cm3
V ... 26.55 Å³ per atom
Energy of formation ... -0.659 eV/atom
VASP energy ... -53.62 eV/cell


ScHI3 | PBE | relaxed

Cell and atoms, written as extended XYZ:
```
10
Lattice="3.925 0.000 0.000 -0.806 7.719 0.000 -0.090 -3.848 12.857" Properties=species:S:1:pos:R:3 pbc="T T T"
Sc 0.716 -0.071 3.516
Sc 2.312 3.942 9.340
H -0.421 3.868 2.354
H 3.450 0.003 10.503
I 0.326 2.551 10.988
I 0.333 3.852 7.226
I 0.792 5.085 2.594
I 2.236 -1.214 10.263
I 2.695 0.020 5.631
I 2.702 1.320 1.869
```

Results
Spin magnetization ... 0.872 μB per formula unit
Theoretical density ... 3.638 g/cm3
Energy relative to the lowest polymorph listed for this composition ... 0 meV per atom
V ... 38.95 Å³ per atom
VASP energy ... -34.18 eV/cell


KPa4AgN8 | PBE | relaxed

Cell and atoms, written as extended XYZ:
```
14
Lattice="3.597 2.077 5.357 -3.597 2.077 5.357 0.000 -4.153 5.357" Properties=species:S:1:pos:R:3 pbc="T T T"
K 0.000 0.000 0.000
Pa -1.858 -1.073 7.226
Pa 0.000 0.000 3.772
Pa 1.858 -1.073 7.226
Pa 0.000 2.146 7.226
Ag 0.000 0.000 9.920
N 0.000 -2.056 8.390
N -1.781 1.028 8.390
N 0.000 0.000 5.951
N -1.508 -0.871 11.505
N 0.000 0.000 13.566
N 1.781 1.028 8.390
N 1.508 -0.871 11.505
N 0.000 1.742 11.505
```

Results
ΔE_f (raw) ... -0.89 eV/atom
Spin magnetization ... 0.000 μB per formula unit
Theoretical density ... 8.184 g/cm3
V ... 17.15 Å³ per atom
VASP energy ... -120.99 eV/cell